Entry from the Alexandria database: a geometry-optimized Tl2CoF structure (PBE with a Hubbard U).

Space-group type: I-42d
Crystal system: tetragonal
VASP energy (eV/atom): -3.183
M_tot (μB per cell): 4.03

Lattice parameters (Å, degrees): 7.207 7.207 6.250 54.80 54.80 90.00
Atoms (fractional coordinates):
Tl  0.604  0.125  0.250
Tl  0.146  0.625  0.250
Tl  0.375  0.396  0.750
Tl  0.875  0.854  0.750
Co  0.000  0.000  0.000
Co  0.750  0.250  0.500
F  0.500  0.500  0.000
F  0.250  0.750  0.500